Model w:
# Ta2MnBe2

Crystalline Ta2MnBe2 at its relaxed geometry (PBE-GGA, Alexandria).

Cell lengths 5.794, 5.794, 5.794 Å; angles 142.78, 142.78, 53.66 degrees
Element x y z (fractional)
Ta 0.250 0.750 0.500
Ta 0.750 0.250 0.500
Mn 0.000 0.000 0.000
Be 0.409 0.409 0.000
Be 0.591 0.591 0.000

Properties
Crystal system = tetragonal

---

Model x:
# Ta2MnBe2

Crystalline Ta2MnBe2 at its relaxed geometry (PBE-GGA, Alexandria).

Cell lengths 6.170, 6.170, 3.284 Å; angles 90.00, 90.00, 90.00 degrees
Element x y z (fractional)
Ta 0.179 0.321 0.000
Ta 0.321 0.821 0.000
Ta 0.679 0.179 0.000
Ta 0.821 0.679 0.000
Mn 0.000 0.000 0.500
Mn 0.500 0.500 0.500
Be 0.119 0.619 0.500
Be 0.381 0.119 0.500
Be 0.619 0.881 0.500
Be 0.881 0.381 0.500

Properties
Crystal system = tetragonal

---

Most stable one: model x, least stable one: model w.

---

Model w:
# MnBeTc

Crystalline MnBeTc at its relaxed geometry (PBE-GGA, Alexandria).

Cell lengths 4.823, 4.823, 6.835 Å; angles 90.00, 90.00, 123.53 degrees
Element x y z (fractional)
Mn 0.147 0.353 0.250
Mn 0.353 0.147 0.750
Mn 0.647 0.853 0.250
Mn 0.853 0.647 0.750
Be 0.109 0.891 0.434
Be 0.391 0.609 0.934
Be 0.609 0.391 0.066
Be 0.891 0.109 0.566
Tc 0.146 0.854 0.095
Tc 0.354 0.646 0.595
Tc 0.646 0.354 0.405
Tc 0.854 0.146 0.905

Properties
Crystal system = orthorhombic

---

Model x:
# MnBeTc

Crystalline MnBeTc at its relaxed geometry (PBE-GGA, Alexandria).

Cell lengths 3.960, 3.960, 2.563 Å; angles 90.00, 90.00, 120.00 degrees
Element x y z (fractional)
Mn 0.000 0.000 0.000
Be 0.333 0.667 0.726
Tc 0.667 0.333 0.311

Properties
Crystal system = trigonal

---

Model y:
# MnBeTc

Crystalline MnBeTc at its relaxed geometry (PBE-GGA, Alexandria).

Cell lengths 4.543, 4.543, 4.543 Å; angles 143.14, 143.14, 53.11 degrees
Element x y z (fractional)
Mn 0.000 0.000 0.000
Be 0.654 0.654 0.000
Tc 0.332 0.332 0.000

Properties
Crystal system = tetragonal

---

Model z:
# MnBeTc

Crystalline MnBeTc at its relaxed geometry (PBE-GGA, Alexandria).

Cell lengths 3.819, 3.819, 3.819 Å; angles 60.00, 60.00, 60.00 degrees
Element x y z (fractional)
Mn 0.000 0.000 0.000
Be 0.750 0.750 0.750
Tc 0.250 0.250 0.250

Properties
Crystal system = cubic

---

Most stable one: model y, least stable one: model z.

---

Model w:
# MnBeTe3

Crystalline MnBeTe3 at its relaxed geometry (PBE-GGA, Alexandria).

Cell lengths 4.914, 4.914, 4.914 Å; angles 90.00, 90.00, 90.00 degrees
Element x y z (fractional)
Mn 0.000 0.000 0.000
Be 0.500 0.500 0.500
Te 0.000 0.500 0.500
Te 0.500 0.000 0.500
Te 0.500 0.500 0.000

Properties
Crystal system = cubic

---

Model x:
# MnBeTe3

Crystalline MnBeTe3 at its relaxed geometry (PBE-GGA, Alexandria).

Cell lengths 5.040, 5.040, 5.040 Å; angles 90.00, 90.00, 90.00 degrees
Element x y z (fractional)
Mn 0.000 0.000 0.000
Be 0.500 0.500 0.500
Te 0.000 0.000 0.500
Te 0.000 0.500 0.000
Te 0.500 0.000 0.000

Properties
Crystal system = cubic

---

Most stable one: model x, least stable one: model w.

---

Model w:
# MnBeTe

Crystalline MnBeTe at its relaxed geometry (PBE-GGA, Alexandria).

Cell lengths 6.615, 6.615, 6.615 Å; angles 153.74, 153.74, 37.47 degrees
Element x y z (fractional)
Mn 0.000 0.000 0.000
Be 0.416 0.416 0.000
Te 0.622 0.622 0.000

Properties
Crystal system = tetragonal

---

Model x:
# MnBeTe

Crystalline MnBeTe at its relaxed geometry (PBE-GGA, Alexandria).

Cell lengths 4.481, 4.481, 4.481 Å; angles 136.90, 136.90, 62.60 degrees
Element x y z (fractional)
Mn 0.000 0.000 0.000
Be 0.341 0.341 0.000
Te 0.665 0.665 0.000

Properties
Crystal system = tetragonal

---

Model y:
# MnBeTe

Crystalline MnBeTe at its relaxed geometry (PBE-GGA, Alexandria).

Cell lengths 3.839, 3.839, 4.283 Å; angles 90.00, 90.00, 120.00 degrees
Element x y z (fractional)
Mn 0.000 0.000 0.000
Be 0.333 0.667 0.733
Te 0.667 0.333 0.460

Properties
Crystal system = trigonal

---

Model z:
# MnBeTe

Crystalline MnBeTe at its relaxed geometry (PBE-GGA, Alexandria).

Cell lengths 4.165, 4.165, 4.165 Å; angles 60.00, 60.00, 60.00 degrees
Element x y z (fractional)
Mn 0.000 0.000 0.000
Be 0.750 0.750 0.750
Te 0.250 0.250 0.250

Properties
Crystal system = cubic

---

Most stable one: model x, least stable one: model w.

---

Model w:
# TiMn3Be

Crystalline TiMn3Be at its relaxed geometry (PBE-GGA, Alexandria).

Cell lengths 3.983, 3.983, 3.983 Å; angles 90.00, 90.00, 90.00 degrees
Element x y z (fractional)
Ti 0.000 0.000 0.000
Mn 0.000 0.500 0.500
Mn 0.500 0.000 0.500
Mn 0.500 0.500 0.000
Be 0.500 0.500 0.500

Properties
Crystal system = cubic

---

Model x:
# TiMn3Be

Crystalline TiMn3Be at its relaxed geometry (PBE-GGA, Alexandria).

Cell lengths 4.399, 4.399, 4.399 Å; angles 90.00, 90.00, 90.00 degrees
Element x y z (fractional)
Ti 0.000 0.000 0.000
Mn 0.000 0.000 0.500
Mn 0.000 0.500 0.000
Mn 0.500 0.000 0.000
Be 0.500 0.500 0.500

Properties
Crystal system = cubic

---

Most stable one: model w, least stable one: model x.

---

Model w:
# Ti3MnBe

Crystalline Ti3MnBe at its relaxed geometry (PBE-GGA, Alexandria).

Cell lengths 4.446, 4.446, 4.446 Å; angles 90.00, 90.00, 90.00 degrees
Element x y z (fractional)
Ti 0.000 0.000 0.500
Ti 0.000 0.500 0.000
Ti 0.500 0.000 0.000
Mn 0.000 0.000 0.000
Be 0.500 0.500 0.500

Properties
Crystal system = cubic

---

Model x:
# Ti3MnBe

Crystalline Ti3MnBe at its relaxed geometry (PBE-GGA, Alexandria).

Cell lengths 4.280, 4.280, 4.280 Å; angles 90.00, 90.00, 90.00 degrees
Element x y z (fractional)
Ti 0.000 0.000 0.500
Ti 0.000 0.500 0.000
Ti 0.500 0.000 0.000
Mn 0.500 0.500 0.500
Be 0.000 0.000 0.000

Properties
Crystal system = cubic

---

Most stable one: model w, least stable one: model x.

---

Model w:
# TiMnBe

Crystalline TiMnBe at its relaxed geometry (PBE-GGA, Alexandria).

Cell lengths 4.489, 4.489, 4.489 Å; angles 141.07, 141.07, 56.23 degrees
Element x y z (fractional)
Ti 0.000 0.000 0.000
Mn 0.682 0.682 0.000
Be 0.317 0.317 0.000

Properties
Crystal system = tetragonal

---

Model x:
# TiMnBe

Crystalline TiMnBe at its relaxed geometry (PBE-GGA, Alexandria).

Cell lengths 4.640, 4.640, 4.640 Å; angles 120.51, 120.04, 89.53 degrees
Element x y z (fractional)
Ti 0.370 0.120 0.250
Ti 0.630 0.880 0.750
Mn 0.000 0.000 0.500
Mn 0.000 0.500 0.000
Be 0.000 0.500 0.500
Be 0.500 0.500 0.000

Properties
Crystal system = orthorhombic

---

Model y:
# TiMnBe

Crystalline TiMnBe at its relaxed geometry (PBE-GGA, Alexandria).

Cell lengths 4.067, 4.067, 4.903 Å; angles 108.28, 108.28, 76.62 degrees
Element x y z (fractional)
Ti 0.204 0.204 0.154
Ti 0.796 0.796 0.846
Mn 0.213 0.787 0.500
Mn 0.787 0.213 0.500
Be 0.366 0.366 0.755
Be 0.634 0.634 0.245

Properties
Crystal system = monoclinic

---

Most stable one: model x, least stable one: model y.

---

Model w:
# Mn2BeTl

Crystalline Mn2BeTl at its relaxed geometry (PBE-GGA, Alexandria).

Cell lengths 5.164, 5.164, 5.164 Å; angles 144.48, 130.79, 62.14 degrees
Element x y z (fractional)
Mn 0.000 0.000 0.000
Mn 0.729 0.229 0.500
Be 0.519 0.519 0.000
Tl 0.280 0.780 0.500

Properties
Crystal system = orthorhombic

---

Model x:
# Mn2BeTl

Crystalline Mn2BeTl at its relaxed geometry (PBE-GGA, Alexandria).

Cell lengths 3.859, 3.859, 3.897 Å; angles 90.00, 90.00, 90.00 degrees
Element x y z (fractional)
Mn 0.000 0.500 0.000
Mn 0.500 0.000 0.000
Be 0.000 0.000 0.500
Tl 0.500 0.500 0.500

Properties
Crystal system = tetragonal

---

Most stable one: model x, least stable one: model w.